(1)
DFT (PBE) results for a relaxed KZnSi crystal.

POSCAR file:
```
KZnSi
1.0
-1.548 1.984 6.020
1.548 -1.984 6.020
1.548 1.984 -6.020
K Zn Si
1 1 1
Direct
0.000 0.000 0.000
0.272 0.272 0.000
0.718 0.718 0.000
```

electronic total energy	-2.3514	eV/atom
DOS(E_F)	1.288	states/eV/f.u.
magnetic moment	0.000	Bohr magnetons per cell
E_form (uncorrected)	0.247	eV per atom

(2)
DFT (PBE) results for a relaxed NaEuI2 crystal.

POSCAR file:
```
NaEuI2
1.0
4.054 0.000 0.000
0.000 4.054 0.000
0.000 0.000 8.066
Na Eu I
1 1 2
Direct
0.000 0.000 0.000
0.000 0.000 0.500
0.500 0.500 0.260
0.500 0.500 0.740
```

electronic total energy	-4.7535	eV/atom
DOS(E_F)	1.256	states/eV/f.u.
magnetic moment	7.843	Bohr magnetons per cell
E_form (uncorrected)	-1.080	eV per atom

(3)
DFT (PBE) results for a relaxed LaTlPb4 crystal.

POSCAR file:
```
LaTlPb4
1.0
0.000 4.614 4.614
4.614 0.000 4.614
4.614 4.614 0.000
La Tl Pb
1 1 4
Direct
0.000 0.000 0.000
0.250 0.250 0.250
0.122 0.626 0.626
0.626 0.122 0.626
0.626 0.626 0.122
0.626 0.626 0.626
```

electronic total energy	-3.8136	eV/atom
calculated formation energy	-2.90	kcal/mol of atoms
DOS(E_F)	5.158	states/eV/f.u.
magnetic moment	0.000	Bohr magnetons per cell

(4)
DFT (PBE) results for a relaxed TiCuSn2 crystal.

POSCAR file:
```
TiCuSn2
1.0
-3.690 3.690 3.019
3.690 -3.690 3.019
3.690 3.690 -3.019
Ti Cu Sn
2 2 4
Direct
0.000 0.000 0.000
0.750 0.250 0.500
0.250 0.750 0.500
0.500 0.500 0.000
0.158 0.625 0.033
0.375 0.408 0.533
0.592 0.125 0.967
0.875 0.842 0.467
```

electronic total energy	-4.8445	eV/atom
calculated formation energy	3.57	kcal/mol of atoms
DOS(E_F)	3.682	states/eV/f.u.
magnetic moment	0.000	Bohr magnetons per cell

(5)
DFT (PBE) results for a relaxed Mn4P5 crystal.

POSCAR file:
```
Mn4P5
1.0
7.493 0.000 0.000
-3.746 6.489 0.000
0.000 0.000 4.868
Mn P
8 10
Direct
0.000 0.000 0.000
0.000 0.000 0.500
0.000 0.377 0.250
0.000 0.623 0.750
0.377 0.000 0.250
0.377 0.377 0.750
0.623 0.000 0.750
0.623 0.623 0.250
0.000 0.276 0.750
0.000 0.724 0.250
0.276 0.000 0.750
0.276 0.276 0.250
0.333 0.667 0.000
0.333 0.667 0.500
0.667 0.333 0.000
0.667 0.333 0.500
0.724 0.000 0.250
0.724 0.724 0.750
```

electronic total energy	-7.0791	eV/atom
calculated formation energy	0.04	kcal/mol of atoms
DOS(E_F)	6.696	states/eV/f.u.
magnetic moment	21.349	Bohr magnetons per cell

(6)
DFT (PBE) results for a relaxed LaY2Zr crystal.

POSCAR file:
```
LaY2Zr
1.0
1.761 1.017 11.368
-1.761 1.017 11.368
0.000 -2.033 11.368
La Y Zr
1 2 1
Direct
0.000 0.000 0.000
0.424 0.424 0.424
0.577 0.577 0.577
0.834 0.834 0.834
```

electronic total energy	-6.5253	eV/atom
calculated formation energy	1.74	kcal/mol of atoms
DOS(E_F)	5.752	states/eV/f.u.
magnetic moment	0.000	Bohr magnetons per cell

What is the formula in the third record? LaTlPb4